Entry 1:
Computed, not measured: crystalline Nb3CdCu at its relaxed geometry at the PBE level of DFT.

Offset from the most stable computed form (meV/atom): 1175
Spin magnetization (μB/cell): 1.8
V (Å³/f.u.): 124
DFT total energy (hartree per atom): -0.1786
E_form (eV/atom): 2.18

Lattice parameters (Å, degrees): 4.9902 4.9902 4.9902 90.00 90.00 90.00
Positions (direct):
Nb  0.0000  0.0000  0.5000
Nb  0.0000  0.5000  0.0000
Nb  0.5000  0.0000  0.0000
Cd  0.0000  0.0000  0.0000
Cu  0.5000  0.5000  0.5000

***

Entry 2:
Computed, not measured: crystalline NbCdCu3 at its relaxed geometry at the PBE level of DFT.

Offset from the most stable computed form (meV/atom): 0
Spin magnetization (μB/cell): 2.2
V (Å³/f.u.): 100
DFT total energy (hartree per atom): -0.1243
E_form (eV/atom): 1.27

Lattice parameters (Å, degrees): 4.6348 4.6348 4.6348 90.00 90.00 90.00
Positions (direct):
Nb  0.0000  0.0000  0.0000
Cd  0.5000  0.5000  0.5000
Cu  0.0000  0.5000  0.5000
Cu  0.5000  0.0000  0.5000
Cu  0.5000  0.5000  0.0000

***

Entry 3:
Computed, not measured: crystalline NbCd2Cu at its relaxed geometry at the PBE level of DFT.

Offset from the most stable computed form (meV/atom): 463
Spin magnetization (μB/cell): 0.0
V (Å³/f.u.): 78
DFT total energy (hartree per atom): -0.1254
E_form (eV/atom): 0.59

Lattice parameters (Å, degrees): 5.9859 5.9859 5.9859 102.48 102.48 124.60
Positions (direct):
Nb  0.0000  0.0000  0.0000
Nb  0.7500  0.2500  0.5000
Cd  0.1568  0.6250  0.0318
Cd  0.3750  0.4068  0.5318
Cd  0.5932  0.1250  0.9682
Cd  0.8750  0.8432  0.4682
Cu  0.2500  0.7500  0.5000
Cu  0.5000  0.5000  0.0000

***

Entry 4:
Computed, not measured: crystalline NbCd2Cu at its relaxed geometry at the PBE level of DFT.

Offset from the most stable computed form (meV/atom): 283
Spin magnetization (μB/cell): 0.0
V (Å³/f.u.): 73
DFT total energy (hartree per atom): -0.1320
E_form (eV/atom): 0.41

Lattice parameters (Å, degrees): 4.6805 4.6805 4.6805 60.00 60.00 60.00
Positions (direct):
Nb  0.0000  0.0000  0.0000
Cd  0.2500  0.2500  0.2500
Cd  0.7500  0.7500  0.7500
Cu  0.5000  0.5000  0.5000

***

Entry 5:
Computed, not measured: crystalline Nb3CdCu at its relaxed geometry at the PBE level of DFT.

Offset from the most stable computed form (meV/atom): 0
Spin magnetization (μB/cell): 1.8
V (Å³/f.u.): 104
DFT total energy (hartree per atom): -0.2218
E_form (eV/atom): 1.01

Lattice parameters (Å, degrees): 4.7010 4.7010 4.7010 90.00 90.00 90.00
Positions (direct):
Nb  0.0000  0.0000  0.5000
Nb  0.0000  0.5000  0.0000
Nb  0.5000  0.0000  0.0000
Cd  0.5000  0.5000  0.5000
Cu  0.0000  0.0000  0.0000

***

Entry 6:
Computed, not measured: crystalline Nb2CdCu at its relaxed geometry at the PBE level of DFT.

Spin magnetization (μB/cell): 0.0
V (Å³/f.u.): 74
DFT total energy (hartree per atom): -0.2101
E_form (eV/atom): 0.57

Lattice parameters (Å, degrees): 5.9164 5.9164 5.9164 101.36 101.36 127.31
Positions (direct):
Nb  0.1004  0.6250  0.9754
Nb  0.3750  0.3504  0.4754
Nb  0.6496  0.1250  0.0246
Nb  0.8750  0.8996  0.5246
Cd  0.2500  0.7500  0.5000
Cd  0.5000  0.5000  0.0000
Cu  0.0000  0.0000  0.0000
Cu  0.7500  0.2500  0.5000

***

Entry 7:
Computed, not measured: crystalline NbCd2Cu at its relaxed geometry at the PBE level of DFT.

Offset from the most stable computed form (meV/atom): 0
Spin magnetization (μB/cell): 0.0
V (Å³/f.u.): 71
DFT total energy (hartree per atom): -0.1424
E_form (eV/atom): 0.12

Lattice parameters (Å, degrees): 2.9578 2.9578 8.1252 90.00 90.00 90.00
Positions (direct):
Nb  0.0000  0.0000  0.0000
Cd  0.5000  0.5000  0.2729
Cd  0.5000  0.5000  0.7271
Cu  0.0000  0.0000  0.5000

***

Entry 8:
Computed, not measured: crystalline Nb3CdCu4O12 at its relaxed geometry at the PBE level of DFT.

Spin magnetization (μB/cell): 3.1
V (Å³/f.u.): 261
DFT total energy (hartree per atom): -0.2527

Lattice parameters (Å, degrees): 6.7910 6.7910 6.7910 106.98 106.98 106.98
Positions (direct):
Nb  0.0000  0.5565  0.4435
Nb  0.4435  0.0000  0.5565
Nb  0.5565  0.4435  0.0000
Cd  0.0000  0.0000  0.0000
Cu  0.0723  0.5000  0.9277
Cu  0.5000  0.5000  0.5000
Cu  0.5000  0.9277  0.0723
Cu  0.9277  0.0723  0.5000
O  0.0078  0.6557  0.7483
O  0.1041  0.8959  0.5000
O  0.2517  0.3443  0.9922
O  0.3300  0.6700  0.5000
O  0.3443  0.9922  0.2517
O  0.5000  0.1041  0.8959
O  0.5000  0.3300  0.6700
O  0.6557  0.7483  0.0078
O  0.6700  0.5000  0.3300
O  0.7483  0.0078  0.6557
O  0.8959  0.5000  0.1041
O  0.9922  0.2517  0.3443

***

Entry 9:
Computed, not measured: crystalline NbCdCuPd at its relaxed geometry at the PBE level of DFT.

Spin magnetization (μB/cell): 0.0
V (Å³/f.u.): 66
DFT total energy (hartree per atom): -0.1882
E_form (eV/atom): -0.05

Lattice parameters (Å, degrees): 4.5266 4.5266 4.5266 60.00 60.00 60.00
Positions (direct):
Nb  0.0000  0.0000  0.0000
Cd  0.5000  0.5000  0.5000
Cu  0.2500  0.2500  0.2500
Pd  0.7500  0.7500  0.7500

***

Entry 10:
Computed, not measured: crystalline NbCdCuRh at its relaxed geometry at the PBE level of DFT.

Spin magnetization (μB/cell): 0.0
V (Å³/f.u.): 65
DFT total energy (hartree per atom): -0.2074
E_form (eV/atom): -0.04

Lattice parameters (Å, degrees): 4.5041 4.5041 4.5041 60.00 60.00 60.00
Positions (direct):
Nb  0.0000  0.0000  0.0000
Cd  0.5000  0.5000  0.5000
Cu  0.2500  0.2500  0.2500
Rh  0.7500  0.7500  0.7500

***

Entry 11:
Computed, not measured: crystalline SrNbCdCu2 at its relaxed geometry at the PBE level of DFT.

Offset from the most stable computed form (meV/atom): 0
Spin magnetization (μB/cell): 3.6
V (Å³/f.u.): 136
DFT total energy (hartree per atom): -0.1079
E_form (eV/atom): 1.24

Lattice parameters (Å, degrees): 4.8993 4.8993 5.6535 90.00 90.00 90.00
Positions (direct):
Sr  0.0000  0.0000  0.0000
Nb  0.5000  0.5000  0.0000
Cd  0.0000  0.0000  0.5000
Cu  0.0000  0.5000  0.5000
Cu  0.5000  0.0000  0.5000

***

Entry 12:
Computed, not measured: crystalline SrNbCdCu2 at its relaxed geometry at the PBE level of DFT.

Offset from the most stable computed form (meV/atom): 508
Spin magnetization (μB/cell): 0.0
V (Å³/f.u.): 128
DFT total energy (hartree per atom): -0.0892
E_form (eV/atom): 1.74

Lattice parameters (Å, degrees): 4.8526 4.8526 5.4206 90.00 90.00 90.00
Positions (direct):
Sr  0.0000  0.0000  0.0000
Nb  0.5000  0.5000  0.5000
Cd  0.0000  0.0000  0.5000
Cu  0.0000  0.5000  0.0000
Cu  0.5000  0.0000  0.0000

***

Entry 13:
Computed, not measured: crystalline NbCd2CuTc at its relaxed geometry at the PBE level of DFT.

Spin magnetization (μB/cell): 0.0
V (Å³/f.u.): 125
DFT total energy (hartree per atom): -0.1523
E_form (eV/atom): 1.13

Lattice parameters (Å, degrees): 5.2318 5.2318 4.5797 90.00 90.00 90.00
Positions (direct):
Nb  0.0000  0.0000  0.0000
Cd  0.0000  0.5000  0.5000
Cd  0.5000  0.0000  0.5000
Cu  0.5000  0.5000  0.0000
Tc  0.0000  0.0000  0.5000

***

Entry 14:
Computed, not measured: crystalline Nd4Cd3Cu at its relaxed geometry at the PBE level of DFT.

Spin magnetization (μB/cell): 0.2
V (Å³/f.u.): 219
DFT total energy (hartree per atom): -0.1287
E_form (eV/atom): -0.26

Lattice parameters (Å, degrees): 3.7613 3.7613 15.4660 90.00 90.00 90.00
Positions (direct):
Nd  0.0000  0.0000  0.1092
Nd  0.0000  0.0000  0.3706
Nd  0.0000  0.0000  0.6294
Nd  0.0000  0.0000  0.8908
Cd  0.5000  0.5000  0.2420
Cd  0.5000  0.5000  0.5000
Cd  0.5000  0.5000  0.7580
Cu  0.5000  0.5000  0.0000

***

Entry 15:
Computed, not measured: crystalline NdCd10Cu2 at its relaxed geometry at the PBE level of DFT.

Spin magnetization (μB/cell): 0.0
V (Å³/f.u.): 276
DFT total energy (hartree per atom): -0.0662
E_form (eV/atom): -0.10

Lattice parameters (Å, degrees): 9.9196 7.5644 7.5445 82.07 49.05 48.88
Positions (direct):
Nd  0.0000  0.0000  0.0000
Cd  0.0000  0.5000  0.0000
Cd  0.0155  0.6543  0.3457
Cd  0.2849  0.5104  0.4896
Cd  0.3457  0.9845  0.0155
Cd  0.4896  0.7151  0.2849
Cd  0.5000  0.0000  0.5000
Cd  0.5104  0.2849  0.7151
Cd  0.6543  0.0155  0.9845
Cd  0.7151  0.4896  0.5104
Cd  0.9845  0.3457  0.6543
Cu  0.0000  0.0000  0.5000
Cu  0.5000  0.5000  0.0000

***

Entry 16:
Computed, not measured: crystalline NdCd2Cu at its relaxed geometry at the PBE level of DFT.

Spin magnetization (μB/cell): 0.0
V (Å³/f.u.): 89
DFT total energy (hartree per atom): -0.1023
E_form (eV/atom): -0.11

Lattice parameters (Å, degrees): 5.0155 5.0155 5.0155 60.00 60.00 60.00
Positions (direct):
Nd  0.0000  0.0000  0.0000
Cd  0.2500  0.2500  0.2500
Cd  0.7500  0.7500  0.7500
Cu  0.5000  0.5000  0.5000

***

Entry 17:
Computed, not measured: crystalline NdCd7Cu5 at its relaxed geometry at the PBE level of DFT.

Spin magnetization (μB/cell): 0.0
V (Å³/f.u.): 242
DFT total energy (hartree per atom): -0.0925
E_form (eV/atom): -0.08

Lattice parameters (Å, degrees): 7.2488 7.2488 7.2488 136.97 97.86 97.60
Positions (direct):
Nd  0.0000  0.0000  0.0000
Cd  0.1950  0.4889  0.7061
Cd  0.3239  0.9792  0.3447
Cd  0.3330  0.3330  0.0000
Cd  0.6345  0.9792  0.6553
Cd  0.6503  0.6503  0.0000
Cd  0.7657  0.2657  0.5000
Cd  0.7827  0.4889  0.2939
Cu  0.2071  0.7071  0.5000
Cu  0.4736  0.4835  0.4893
Cu  0.4736  0.9843  0.9901
Cu  0.9942  0.4835  0.0099
Cu  0.9942  0.9843  0.5107

***

Entry 18:
Computed, not measured: crystalline Nd2Cd3Cu at its relaxed geometry at the PBE level of DFT.

Spin magnetization (μB/cell): 0.0
V (Å³/f.u.): 147
DFT total energy (hartree per atom): -0.1101
E_form (eV/atom): -0.27

Lattice parameters (Å, degrees): 3.4829 4.9316 8.5673 90.00 90.00 90.00
Positions (direct):
Nd  0.0000  0.0000  0.0000
Nd  0.0000  0.5000  0.4672
Cd  0.5000  0.0000  0.6383
Cd  0.5000  0.5000  0.1533
Cd  0.5000  0.5000  0.8127
Cu  0.5000  0.0000  0.3133

***

Entry 19:
Computed, not measured: crystalline Nd2CdCu3 at its relaxed geometry at the PBE level of DFT.

Offset from the most stable computed form (meV/atom): 6
Spin magnetization (μB/cell): 0.0
V (Å³/f.u.): 130
DFT total energy (hartree per atom): -0.1458
E_form (eV/atom): -0.18

Lattice parameters (Å, degrees): 8.9666 8.5759 5.8605 74.13 66.92 38.95
Positions (direct):
Nd  0.2411  0.7589  0.7589
Nd  0.2500  0.2500  0.2500
Nd  0.7500  0.7500  0.7500
Nd  0.7589  0.2411  0.2411
Cd  0.3341  0.3341  0.6659
Cd  0.6659  0.6659  0.3341
Cu  0.1612  0.1612  0.8388
Cu  0.1611  0.6770  0.3230
Cu  0.3230  0.8389  0.1611
Cu  0.6770  0.1611  0.8389
Cu  0.8389  0.3230  0.6770
Cu  0.8388  0.8388  0.1612

***

Entry 20:
Computed, not measured: crystalline Nd6Cd5Cu at its relaxed geometry at the PBE level of DFT.

Spin magnetization (μB/cell): 1.2
V (Å³/f.u.): 334
DFT total energy (hartree per atom): -0.1242
E_form (eV/atom): -0.27

Lattice parameters (Å, degrees): 9.3336 9.3336 9.3336 146.52 131.23 60.45
Positions (direct):
Nd  0.0809  0.3400  0.7410
Nd  0.2349  0.0000  0.2349
Nd  0.4010  0.6600  0.7410
Nd  0.5990  0.3400  0.2590
Nd  0.7651  0.0000  0.7651
Nd  0.9191  0.6600  0.2590
Cd  0.1774  0.1774  0.0000
Cd  0.3325  0.8325  0.5000
Cd  0.5000  0.5000  0.0000
Cd  0.6675  0.1675  0.5000
Cd  0.8226  0.8226  0.0000
Cu  0.0000  0.5000  0.5000